Run a
This record from the Alexandria database describes a geometry-optimized Ac3Cu2Ge4 structure. The functional is PBE.

The structure in CIF format:
```
data_Ac3Cu2Ge4
_cell_length_a 6.349
_cell_length_b 6.349
_cell_length_c 8.872
_cell_angle_alpha 108.39
_cell_angle_beta 108.39
_cell_angle_gamma 40.33
_symmetry_space_group_name_H-M 'P 1'
_symmetry_Int_Tables_number 1
loop_
_symmetry_equiv_pos_as_xyz
'x,y,z'
loop_
_atom_site_label
_atom_site_fract_x
_atom_site_fract_y
_atom_site_fract_z
_atom_site_occupancy
Ac1 0.000 0.000 0.000 1
Ac2 0.382 0.382 0.322 1
Ac3 0.618 0.618 0.678 1
Cu1 0.321 0.321 0.673 1
Cu2 0.679 0.679 0.327 1
Ge1 0.119 0.119 0.401 1
Ge2 0.281 0.281 0.935 1
Ge3 0.719 0.719 0.065 1
Ge4 0.881 0.881 0.599 1
```

Results
M_tot: 0.000 μB/f.u.
SG: C2/m (12)

---

Run b
This record from the Alexandria database describes a geometry-optimized Ac3Cu2Ge4 structure. The functional is PBE.

The structure in CIF format:
```
data_Ac3Cu2Ge4
_cell_length_a 6.280
_cell_length_b 6.280
_cell_length_c 8.730
_cell_angle_alpha 97.68
_cell_angle_beta 97.68
_cell_angle_gamma 40.57
_symmetry_space_group_name_H-M 'P 1'
_symmetry_Int_Tables_number 1
loop_
_symmetry_equiv_pos_as_xyz
'x,y,z'
loop_
_atom_site_label
_atom_site_fract_x
_atom_site_fract_y
_atom_site_fract_z
_atom_site_occupancy
Ac1 0.000 0.000 0.000 1
Ac2 0.339 0.339 0.334 1
Ac3 0.661 0.661 0.666 1
Cu1 0.391 0.391 0.717 1
Cu2 0.609 0.609 0.283 1
Ge1 0.062 0.062 0.385 1
Ge2 0.285 0.285 0.937 1
Ge3 0.715 0.715 0.063 1
Ge4 0.938 0.938 0.615 1
```

Results
M_tot: 0.000 μB/f.u.
SG: C2/m (12)

---

What should be chosen as the most stable of them? Choose run b.